Record 1
{
  "formula": "Ca4CuNi3",
  "functional": "GGA-PBE",
  "state": "relaxed",
  "cell": [[4.1086, 0.0000, 0.0000], [0.0000, 4.1431, 0.0000], [0.0000, 0.0000, 10.5422]],
  "species": ["Ca", "Ca", "Ca", "Ca", "Cu", "Ni", "Ni", "Ni"],
  "frac_coords": [[0.0000, 0.0000, 0.0000], [0.0000, 0.5000, 0.4899], [0.5000, 0.0000, 0.7100], [0.5000, 0.5000, 0.2110], [0.0000, 0.5000, 0.7940], [0.0000, 0.0000, 0.3014], [0.5000, 0.0000, 0.4033], [0.5000, 0.5000, 0.9116]],
  "sg": "Pmm2, No. 25",
  "delta_e_f_ev_per_atom": -0.13
}

***

Record 2
{
  "formula": "CaCu10Ni2",
  "functional": "GGA-PBE",
  "state": "relaxed",
  "cell": [[0.0000, 5.9249, 6.0127], [2.4136, 0.0000, 6.0127], [2.4136, 5.9249, 0.0000]],
  "species": ["Ca", "Cu", "Cu", "Cu", "Cu", "Cu", "Cu", "Cu", "Cu", "Cu", "Cu", "Ni", "Ni"],
  "frac_coords": [[0.0000, 0.0000, 0.0000], [0.0000, 0.0000, 0.5000], [0.0033, 0.3534, 0.6466], [0.2741, 0.4979, 0.5021], [0.3534, 0.0033, 0.9967], [0.4979, 0.2741, 0.7259], [0.5000, 0.5000, 0.0000], [0.5021, 0.7259, 0.2741], [0.6466, 0.9967, 0.0033], [0.7259, 0.5021, 0.4979], [0.9967, 0.6466, 0.3534], [0.0000, 0.5000, 0.0000], [0.5000, 0.0000, 0.5000]],
  "sg": "Fmmm, No. 69",
  "delta_e_f_ev_per_atom": -0.05
}

***

Record 3
{
  "formula": "CaCu2Ni2",
  "functional": "GGA-PBE",
  "state": "relaxed",
  "cell": [[-1.9990, 1.9990, 9.8672], [1.9990, -1.9990, 9.8672], [1.9990, 1.9990, -9.8672]],
  "species": ["Ca", "Ca", "Cu", "Cu", "Cu", "Cu", "Ni", "Ni", "Ni", "Ni"],
  "frac_coords": [[0.1272, 0.1272, 0.0000], [0.8728, 0.8728, 0.0000], [0.0000, 0.5000, 0.5000], [0.3164, 0.3164, 0.0000], [0.5000, 0.0000, 0.5000], [0.6836, 0.6836, 0.0000], [0.2500, 0.7500, 0.5000], [0.4346, 0.4346, 0.0000], [0.5654, 0.5654, 0.0000], [0.7500, 0.2500, 0.5000]],
  "sg": "I4/mmm, No. 139",
  "polymorph_energy_mev_per_atom": 0,
  "delta_e_f_ev_per_atom": 0.00
}

***

Record 4
{
  "formula": "Ca2CuNi",
  "functional": "GGA-PBE",
  "state": "relaxed",
  "cell": [[7.6085, 0.0000, 0.0000], [0.0000, 7.6085, 0.0000], [0.0000, 0.0000, 6.1599]],
  "species": ["Ca", "Ca", "Ca", "Ca", "Ca", "Ca", "Ca", "Ca", "Cu", "Cu", "Cu", "Cu", "Ni", "Ni", "Ni", "Ni"],
  "frac_coords": [[0.2345, 0.2500, 0.1250], [0.2500, 0.7345, 0.3750], [0.2500, 0.7655, 0.8750], [0.2655, 0.2500, 0.6250], [0.7345, 0.7500, 0.6250], [0.7500, 0.2345, 0.8750], [0.7500, 0.2655, 0.3750], [0.7655, 0.7500, 0.1250], [0.0000, 0.0000, 0.5000], [0.0000, 0.5000, 0.7500], [0.5000, 0.0000, 0.2500], [0.5000, 0.5000, 0.0000], [0.0000, 0.0000, 0.0000], [0.0000, 0.5000, 0.2500], [0.5000, 0.0000, 0.7500], [0.5000, 0.5000, 0.5000]],
  "sg": "I-42d, No. 122",
  "delta_e_f_ev_per_atom": 0.25
}

***

Record 5
{
  "formula": "CaCuNi",
  "functional": "GGA-PBE",
  "state": "relaxed",
  "cell": [[4.0773, 0.0000, 0.0000], [-2.0386, 3.5310, 0.0000], [0.0000, 0.0000, 3.9438]],
  "species": ["Ca", "Cu", "Ni"],
  "frac_coords": [[0.0000, 0.0000, 0.0000], [0.6667, 0.3333, 0.5000], [0.3333, 0.6667, 0.5000]],
  "sg": "P-6m2, No. 187",
  "delta_e_f_ev_per_atom": -0.06
}

***

Record 6
{
  "formula": "CaCuNi",
  "functional": "GGA-PBE",
  "state": "relaxed",
  "cell": [[9.9072, 0.0000, 0.0000], [0.0000, 4.2096, 0.0000], [-4.7653, 0.0000, 5.1155]],
  "species": ["Ca", "Ca", "Ca", "Ca", "Cu", "Cu", "Cu", "Cu", "Ni", "Ni", "Ni", "Ni"],
  "frac_coords": [[0.0549, 0.0000, 0.3035], [0.4451, 0.5000, 0.6965], [0.5549, 0.5000, 0.3035], [0.9451, 0.0000, 0.6965], [0.1717, 0.5000, 0.0970], [0.3283, 0.0000, 0.9030], [0.6717, 0.0000, 0.0970], [0.8283, 0.5000, 0.9030], [0.1527, 0.5000, 0.7093], [0.3473, 0.0000, 0.2907], [0.6527, 0.0000, 0.7093], [0.8473, 0.5000, 0.2907]],
  "sg": "C2/m, No. 12",
  "delta_e_f_ev_per_atom": -0.08
}

***

Record 7
{
  "formula": "CaCu2Ni9",
  "functional": "GGA-PBE",
  "state": "relaxed",
  "cell": [[8.0128, 0.0000, 0.0000], [0.0000, 8.0128, 0.0000], [0.0000, 0.0000, 4.7209]],
  "species": ["Ca", "Ca", "Cu", "Cu", "Cu", "Cu", "Ni", "Ni", "Ni", "Ni", "Ni", "Ni", "Ni", "Ni", "Ni", "Ni", "Ni", "Ni", "Ni", "Ni", "Ni", "Ni", "Ni", "Ni"],
  "frac_coords": [[0.0000, 0.0000, 0.0000], [0.5000, 0.5000, 0.0000], [0.1144, 0.3856, 0.0000], [0.3856, 0.8856, 0.0000], [0.6144, 0.1144, 0.0000], [0.8856, 0.6144, 0.0000], [0.0000, 0.5000, 0.5000], [0.0646, 0.2112, 0.5000], [0.1787, 0.6787, 0.2401], [0.1787, 0.6787, 0.7599], [0.2112, 0.9354, 0.5000], [0.2888, 0.4354, 0.5000], [0.3213, 0.1787, 0.2401], [0.3213, 0.1787, 0.7599], [0.4354, 0.7112, 0.5000], [0.5000, 0.0000, 0.5000], [0.5646, 0.2888, 0.5000], [0.6787, 0.8213, 0.2401], [0.6787, 0.8213, 0.7599], [0.7112, 0.5646, 0.5000], [0.7888, 0.0646, 0.5000], [0.8213, 0.3213, 0.2401], [0.8213, 0.3213, 0.7599], [0.9354, 0.7888, 0.5000]],
  "sg": "P4/mbm, No. 127",
  "delta_e_f_ev_per_atom": -0.03
}

***

Record 8
{
  "formula": "CaCuNi",
  "functional": "GGA-PBE",
  "state": "relaxed",
  "cell": [[9.9785, 0.0000, 0.0000], [0.0000, 4.0877, 0.0000], [-0.2267, 0.0000, 5.1572]],
  "species": ["Ca", "Ca", "Ca", "Ca", "Cu", "Cu", "Cu", "Cu", "Ni", "Ni", "Ni", "Ni"],
  "frac_coords": [[0.0000, 0.0000, 0.0000], [0.0797, 0.5000, 0.5001], [0.5000, 0.5000, 0.0000], [0.5797, 0.0000, 0.5001], [0.2278, 0.5000, 0.0130], [0.2934, 0.0000, 0.7493], [0.7278, 0.0000, 0.0130], [0.7934, 0.5000, 0.7493], [0.2925, 0.0000, 0.2554], [0.3523, 0.5000, 0.4846], [0.7925, 0.5000, 0.2554], [0.8523, 0.0000, 0.4846]],
  "sg": "Cm, No. 8",
  "delta_e_f_ev_per_atom": -0.13
}

***

Record 9
{
  "formula": "CaCuNi2",
  "functional": "GGA-PBE",
  "state": "relaxed",
  "cell": [[2.7605, 0.0000, 0.0000], [0.0000, 4.0079, 0.0000], [-1.2578, 0.0000, 5.4929]],
  "species": ["Ca", "Cu", "Ni", "Ni"],
  "frac_coords": [[0.0000, 0.0000, 0.0000], [0.0000, 0.0000, 0.5000], [0.4069, 0.5000, 0.6941], [0.5931, 0.5000, 0.3059]],
  "sg": "P2/m, No. 10",
  "delta_e_f_ev_per_atom": 0.18
}

***

Record 10
{
  "formula": "CaCuNi",
  "functional": "GGA-PBE",
  "state": "relaxed",
  "cell": [[10.3786, 0.0000, 0.0000], [0.0000, 4.1004, 0.0000], [-1.8344, 0.0000, 5.2727]],
  "species": ["Ca", "Ca", "Ca", "Ca", "Cu", "Cu", "Cu", "Cu", "Ni", "Ni", "Ni", "Ni"],
  "frac_coords": [[0.0000, 0.0000, 0.0000], [0.2186, 0.0000, 0.6108], [0.5000, 0.5000, 0.0000], [0.7186, 0.5000, 0.6108], [0.2093, 0.5000, 0.0066], [0.3956, 0.5000, 0.4284], [0.7093, 0.0000, 0.0066], [0.8956, 0.0000, 0.4284], [0.0084, 0.5000, 0.6089], [0.3262, 0.0000, 0.1926], [0.5084, 0.0000, 0.6089], [0.8262, 0.5000, 0.1926]],
  "sg": "Cm, No. 8",
  "delta_e_f_ev_per_atom": -0.10
}

***

Record 11
{
  "formula": "CaCuNi2",
  "functional": "GGA-PBE",
  "state": "relaxed",
  "cell": [[3.0649, 0.0000, 0.0000], [0.0000, 4.4153, 0.0000], [0.0000, 0.0000, 8.9065]],
  "species": ["Ca", "Ca", "Cu", "Cu", "Ni", "Ni", "Ni", "Ni"],
  "frac_coords": [[0.0000, 0.0000, 0.0000], [0.5000, 0.5000, 0.5000], [0.0000, 0.5000, 0.7801], [0.5000, 0.0000, 0.2801], [0.0000, 0.0000, 0.5088], [0.0000, 0.5000, 0.2246], [0.5000, 0.0000, 0.7246], [0.5000, 0.5000, 0.0088]],
  "sg": "Imm2, No. 44",
  "delta_e_f_ev_per_atom": 0.17
}

***

Record 12
{
  "formula": "Ca6CuNi2",
  "functional": "GGA-PBE",
  "state": "relaxed",
  "cell": [[-4.8113, 4.9319, 5.2374], [4.8113, -4.9319, 5.2374], [4.8113, 4.9319, -5.2374]],
  "species": ["Ca", "Ca", "Ca", "Ca", "Ca", "Ca", "Ca", "Ca", "Ca", "Ca", "Ca", "Ca", "Cu", "Cu", "Ni", "Ni", "Ni", "Ni"],
  "frac_coords": [[0.0270, 0.2251, 0.8019], [0.1810, 0.2881, 0.4691], [0.1810, 0.7119, 0.8930], [0.3247, 0.0189, 0.6942], [0.3247, 0.6304, 0.3058], [0.4232, 0.2251, 0.1981], [0.5768, 0.7749, 0.8019], [0.6753, 0.3696, 0.6942], [0.6753, 0.9811, 0.3058], [0.8190, 0.2881, 0.1070], [0.8190, 0.7119, 0.5309], [0.9730, 0.7749, 0.1981], [0.0000, 0.0000, 0.0000], [0.5000, 0.5000, 0.0000], [0.1120, 0.6120, 0.5000], [0.3769, 0.0000, 0.3769], [0.6231, 0.0000, 0.6231], [0.8880, 0.3880, 0.5000]],
  "sg": "Immm, No. 71",
  "delta_e_f_ev_per_atom": -0.07
}